The following is a DFT calculation (GGA+U) of CoWIO2 after structural relaxation.

Cell lengths 3.8647, 3.8647, 7.3263 Å; angles 90.00, 90.00, 90.00 degrees
Space group P4/mmm (No. 123)
Unique sites:
1 Co 0.0000 0.0000 0.0000 [1 per cell]
2 W 0.5000 0.5000 0.5000 [1 per cell]
3 I 0.5000 0.5000 0.0000 [1 per cell]
4 O 0.0000 0.5000 0.5000 [2 per cell]

## Properties
M_tot = 0.27 μB per formula unit
calculated density = 6.1 g/cm³
offset from the most stable computed form = 0 kJ/mol of formula units